1.
Ta2Nb4C3S3: optimized geometry, GGA-PBE.

Cell: 9.926 5.728 12.165 Å, 90.00 105.72 90.00°
Space group C2/c (No. 15)
Asymmetric unit:
Ta (0.057, 0.087, 0.407)
Nb (0.116, 0.425, 0.596)
Nb (0.214, 0.412, 0.904)
C (0.080, 0.241, 0.000)
C (0.250, 0.250, 0.500)
S (0.000, 0.413, 0.250)
S (0.165, 0.081, 0.750)

Properties
energy = -9.430 eV/atom


2.
CsGeAu3Se4: optimized geometry, GGA-PBE.

Cell: 6.434 7.936 10.970 Å, 90.00 100.42 90.00°
Space group P2_1/m (No. 11)
Asymmetric unit:
Cs (0.225, 0.250, 0.354)
Ge (0.095, 0.250, 0.782)
Au (0.362, 0.564, 0.077)
Au (0.468, 0.750, 0.321)
Se (0.037, 0.750, 0.020)
Se (0.142, 0.750, 0.411)
Se (0.306, 0.503, 0.772)

Properties
polymorph energy (0 for the lowest one) = 0.0 kJ/mol of atoms
energy = -3.568 eV/atom


3.
CoNiHgAs: optimized geometry, GGA-PBE.

Cell: 6.170 6.170 6.170 Å, 90.00 90.00 90.00°
Space group F-43m (No. 216)
Asymmetric unit:
Co (0.000, 0.000, 0.000)
Ni (0.000, 0.000, 0.500)
Hg (0.250, 0.250, 0.250)
As (0.250, 0.250, 0.750)

Properties
polymorph energy (0 for the lowest one) = 0.0 kJ/mol of atoms
energy = -4.106 eV/atom


4.
KZnPO: optimized geometry, GGA-PBE.

Cell: 4.006 4.006 10.779 Å, 90.00 90.00 90.00°
Space group P4/nmm (No. 129, origin choice 2)
Asymmetric unit:
K (0.250, 0.750, 0.000)
Zn (0.250, 0.250, 0.448)
P (0.250, 0.250, 0.223)
O (0.250, 0.750, 0.500)

Properties
polymorph energy (0 for the lowest one) = 74.0 kJ/mol of atoms
energy = -3.097 eV/atom


5.
LuHgPO: optimized geometry, GGA-PBE.

Cell: 4.012 4.012 8.851 Å, 90.00 90.00 90.00°
Space group P4/nmm (No. 129, origin choice 2)
Asymmetric unit:
Lu (0.250, 0.250, 0.110)
Hg (0.250, 0.750, 0.500)
P (0.250, 0.250, 0.711)
O (0.250, 0.750, 0.000)

Properties
polymorph energy (0 for the lowest one) = 2.6 kJ/mol of atoms
energy = -5.265 eV/atom


6.
K2UTe3: optimized geometry, GGA-PBE.

Cell: 4.610 19.413 12.901 Å, 90.00 90.00 90.00°
Space group Cmcm (No. 63)
Asymmetric unit:
K (0.000, 0.128, 0.250)
K (0.000, 0.133, 0.750)
U (0.000, 0.500, 0.000)
Te (0.000, 0.106, 0.000)
Te (0.000, 0.498, 0.250)

Properties
energy = -4.582 eV/atom


7.
TaCoBiOs: optimized geometry, GGA-PBE.

Cell: 6.465 6.465 6.465 Å, 90.00 90.00 90.00°
Space group F-43m (No. 216)
Asymmetric unit:
Ta (0.000, 0.000, 0.000)
Co (0.250, 0.250, 0.750)
Bi (0.000, 0.000, 0.500)
Os (0.250, 0.250, 0.250)

Properties
polymorph energy (0 for the lowest one) = 0.0 kJ/mol of atoms
energy = -8.112 eV/atom


8.
Ta2TlCd: optimized geometry, GGA-PBE.

Cell: 6.864 6.864 6.864 Å, 90.00 90.00 90.00°
Space group F-43m (No. 216)
Asymmetric unit:
Ta (0.000, 0.000, 0.000)
Ta (0.250, 0.250, 0.250)
Tl (0.000, 0.000, 0.500)
Cd (0.250, 0.250, 0.750)

Properties
energy = -5.987 eV/atom


9.
Ho2CBrCl: optimized geometry, GGA-PBE.

Cell: 3.7153 3.7153 10.1632 Å, 90.00 90.00 120.00°
Space group P3m1 (No. 156)
Asymmetric unit:
Ho (0.0000, 0.0000, 0.0000)
Ho (0.3333, 0.6667, 0.7380)
C (0.6667, 0.3333, 0.8688)
Br (0.0000, 0.0000, 0.5472)
Cl (0.3333, 0.6667, 0.1704)

Properties
energy = -5.801 eV/atom


10.
HoErS2Br2: optimized geometry, GGA-PBE.

Cell: 4.035 5.318 9.089 Å, 90.00 90.00 90.00°
Space group Pmm2 (No. 25)
Asymmetric unit:
Ho (0.000, 0.000, 0.000)
Er (0.500, 0.500, 0.746)
S (0.000, 0.500, 0.947)
S (0.500, 0.000, 0.797)
Br (0.000, 0.500, 0.531)
Br (0.500, 0.000, 0.216)

Properties
energy = -5.473 eV/atom


11.
Nd2DyNbO6: optimized geometry, GGA-PBE.

Cell: 5.702 5.702 8.529 Å, 90.00 90.00 90.00°
Space group I4/m (No. 87)
Asymmetric unit:
Nd (0.000, 0.500, 0.250)
Dy (0.000, 0.000, 0.000)
Nb (0.000, 0.000, 0.500)
O (0.000, 0.000, 0.256)
O (0.153, 0.326, 0.500)

Properties
energy = -8.261 eV/atom


12.
La2AgPd5: optimized geometry, GGA-PBE.

Cell: 6.096 6.096 8.248 Å, 90.00 90.00 90.00°
Space group I4/mmm (No. 139)
Asymmetric unit:
La (0.000, 0.500, 0.000)
Ag (0.000, 0.000, 0.000)
Pd (0.000, 0.000, 0.500)
Pd (0.250, 0.250, 0.250)

Properties
E_form = -0.726 eV per atom
energy = -5.544 eV/atom


Repeat the fifth record exactly.
LuHgPO: optimized geometry, GGA-PBE.

Cell: 4.012 4.012 8.851 Å, 90.00 90.00 90.00°
Space group P4/nmm (No. 129, origin choice 2)
Asymmetric unit:
Lu (0.250, 0.250, 0.110)
Hg (0.250, 0.750, 0.500)
P (0.250, 0.250, 0.711)
O (0.250, 0.750, 0.000)

Properties
polymorph energy (0 for the lowest one) = 2.6 kJ/mol of atoms
energy = -5.265 eV/atom


energy of number 12 (La2AgPd5)? -5.544 eV/atom


Copy entry 8 word for word.
Ta2TlCd: optimized geometry, GGA-PBE.

Cell: 6.864 6.864 6.864 Å, 90.00 90.00 90.00°
Space group F-43m (No. 216)
Asymmetric unit:
Ta (0.000, 0.000, 0.000)
Ta (0.250, 0.250, 0.250)
Tl (0.000, 0.000, 0.500)
Cd (0.250, 0.250, 0.750)

Properties
energy = -5.987 eV/atom